(1)
Density functional theory data (GGA-PBEsol) for crystalline SiSbW2 at its relaxed geometry.

Cell lengths 4.846, 4.846, 4.846 Å; angles 129.95, 129.95, 73.48 degrees
Fractional coordinates of all 4 atoms:
Si (0.000, 0.000, 0.000)
Sb (0.250, 0.750, 0.500)
W (0.500, 0.500, 0.000)
W (0.750, 0.250, 0.500)

Output
As for the space group: No. 119. The relative energy among the computed polymorphs comes out at 0.298 eV/atom. The density of states at the Fermi level is 2.86 states/eV per cell. The calculation puts the uncorrected formation energy at 0.5575 eV per atom.

(2)
Density functional theory data (GGA-PBEsol) for crystalline NiB2W2 at its relaxed geometry.

Cell lengths 4.482, 4.482, 4.482 Å; angles 138.41, 119.25, 76.32 degrees
Fractional coordinates of all 5 atoms:
Ni (0.000, 0.000, 0.000)
B (0.296, 0.500, 0.796)
B (0.704, 0.500, 0.204)
W (0.299, 0.799, 0.500)
W (0.701, 0.201, 0.500)

Output
As for the space group: No. 71. The density of states at the Fermi level is 1.49 states/eV per cell. The calculation puts the energy of formation from the pure elements at -507 meV/atom.

(3)
Density functional theory data (GGA-PBEsol) for crystalline SrOs2Br at its relaxed geometry.

Cell lengths 5.863, 5.863, 2.866 Å; angles 90.00, 90.00, 126.99 degrees
Fractional coordinates of all 4 atoms:
Sr (0.000, 0.000, 0.000)
Os (0.000, 0.500, 0.500)
Os (0.500, 0.000, 0.500)
Br (0.500, 0.500, 0.000)

Output
As for the space group: No. 65. The relative energy among the computed polymorphs comes out at 0.452 eV/atom. The density of states at the Fermi level is 4.13 states/eV per cell. The calculation puts the uncorrected formation energy at 1.2426 eV per atom.

(4)
Density functional theory data (GGA-PBEsol) for crystalline Na2AlGa2 at its relaxed geometry.

Cell lengths 7.479, 7.479, 7.479 Å; angles 149.86, 149.86, 43.15 degrees
Fractional coordinates of all 5 atoms:
Na (0.250, 0.750, 0.500)
Na (0.750, 0.250, 0.500)
Al (0.000, 0.000, 0.000)
Ga (0.412, 0.412, 0.000)
Ga (0.588, 0.588, 0.000)

Output
As for the space group: No. 139. The relative energy among the computed polymorphs comes out at 0.210 eV/atom. The density of states at the Fermi level is 1.85 states/eV per cell. The calculation puts the energy of formation from the pure elements at 205 meV/atom.